The following is a DFT calculation (PBE-GGA) of a relaxed structure of Si2AgIrSe.

## Properties
- total magnetization (μB per atom) = 0.000
- SG = P4/mmm, No. 123
- DFT total energy (eV per atom) = -4.79

Lattice parameters (Å, degrees): 4.4838 4.4838 5.7205 90.00 90.00 90.00
Last column: nearest neighbours and their distance in Å.
Element x y z (fractional)
Si (0.0000, 0.5000, 0.0000)  2 Ir 2.24
Si (0.5000, 0.0000, 0.0000)  2 Ir 2.24
Ag (0.0000, 0.0000, 0.5000)  4 Se 3.17
Ir (0.5000, 0.5000, 0.0000)  4 Si 2.24
Se (0.5000, 0.5000, 0.5000)  2 Ir 2.86, 4 Ag 3.17